Compound: KAc2Sc
Source: Alexandria via LeMat-Bulk
Functional: PBE
Structure: relaxed

- E_form: 233 meV per atom
- V: 43.2 A^3/atom
- Total magnetization: 0.0000 μB/atom

a = 3.8363 Å, b = 3.8363 Å, c = 13.7408 Å
α = 81.98°, β = 81.98°, γ = 60.00°
Closest atoms and distances in Å follow each position.
Sites, in units of the cell vectors:
Ac 0.0989 0.0989 0.7034  3 Sc 3.54, 6 Ac 3.84
Ac 0.9011 0.9011 0.2966  3 Sc 3.54, 6 Ac 3.84
K 0.0000 0.0000 0.0000  6 K 3.84, 2 Ac 4.02
Sc 0.5000 0.5000 0.5000  6 Ac 3.54, 6 Sc 3.84

Compound: Li3Cd2Pd
Source: Alexandria via LeMat-Bulk
Functional: PBE
Structure: relaxed

- E_form: -327 meV per atom
- Polymorph energy (0 for the lowest one): 0.0 meV per atom
- V: 16.4 A^3/atom
- Total magnetization: 0.0000 μB/atom

a = 4.6148 Å, b = 7.2376 Å, c = 6.1441 Å
α = 90.00°, β = 90.00°, γ = 73.61°
Closest atoms and distances in Å follow each position.
Sites, in units of the cell vectors:
Cd 0.0000 0.0000 0.0000  8 Li 2.72-2.80
Cd 0.6502 0.6725 0.5000  8 Li 2.80-2.88, 2 Pd 3.07
Cd 0.3498 0.3275 0.5000  8 Li 2.80-2.88, 2 Pd 3.07
Cd 0.0000 0.0000 0.5000  8 Li 2.82-2.98, 2 Cd 3.07
Li 0.1632 0.6477 0.7773  3 Pd 2.67-2.71, 2 Li 2.74-2.94, 5 Cd 2.80-2.98
Li 0.5000 0.0000 0.7649  2 Pd 2.65, 6 Cd 2.72-2.82, 1 Li 2.89
Li 0.8368 0.3523 0.7773  3 Pd 2.67-2.71, 2 Li 2.74-2.94, 5 Cd 2.80-2.98
Li 0.5000 0.0000 0.2351  2 Pd 2.65, 6 Cd 2.72-2.82, 1 Li 2.89
Li 0.8368 0.3523 0.2227  3 Pd 2.67-2.71, 2 Li 2.74-2.94, 5 Cd 2.80-2.98
Li 0.1632 0.6477 0.2227  3 Pd 2.67-2.71, 2 Li 2.74-2.94, 5 Cd 2.80-2.98
Pd 0.3549 0.3193 0.0000  8 Li 2.65-2.71
Pd 0.6451 0.6807 0.0000  8 Li 2.65-2.71

Compound: PaH6Ir
Source: Alexandria via LeMat-Bulk
Functional: PBE
Structure: relaxed

- Total energy: -5.055 eV per atom
- V: 8.3 A^3/atom
- Total magnetization: 0.1545 μB/atom

a = 4.3798 Å, b = 4.3798 Å, c = 4.7316 Å
α = 62.43°, β = 62.43°, γ = 60.00°
Closest atoms and distances in Å follow each position.
Sites, in units of the cell vectors:
H 0.4496 0.8947 0.7611  1 Ir 1.70
H 0.8947 0.4496 0.7611  1 Ir 1.70
H 0.8947 0.8947 0.7610  1 Ir 1.70
H 0.1053 0.5504 0.2389  1 Ir 1.70
H 0.1053 0.1053 0.2390  1 Ir 1.70
H 0.5504 0.1053 0.2389  1 Ir 1.70
Ir 0.0000 0.0000 0.0000  6 H 1.70
Pa 0.5000 0.5000 0.5000  12 H 2.43

Compound: Sb4As2I3
Source: Alexandria via LeMat-Bulk
Functional: PBE
Structure: relaxed

- Energy relative to the elements, uncorrected: 72 meV/atom
- V: 37.5 A^3/atom
- Total magnetization: 0.0000 μB/atom

a = 7.4131 Å, b = 9.6277 Å, c = 9.6277 Å
α = 79.80°, β = 93.26°, γ = 93.26°
Closest atoms and distances in Å follow each position.
Sites, in units of the cell vectors:
I 0.7500 0.4391 0.5609  4 Sb 3.26-3.51
I 0.5425 0.7288 0.9902  1 Sb 2.91
I 0.0425 0.9902 0.7288  1 Sb 2.91
I 0.4575 0.2712 0.0098  1 Sb 2.91
I 0.2500 0.5609 0.4391  4 Sb 3.26-3.51
I 0.9575 0.0098 0.2712  1 Sb 2.91
Sb 0.4469 0.9004 0.3279  2 As 2.65-2.69
Sb 0.5531 0.0996 0.6721  2 As 2.65-2.69
Sb 0.6127 0.4036 0.2409  2 As 2.76-2.79, 1 I 2.91
Sb 0.8873 0.7591 0.5964  2 As 2.76-2.79, 1 I 2.91
Sb 0.9469 0.3279 0.9004  2 As 2.65-2.69
Sb 0.0531 0.6721 0.0996  2 As 2.65-2.69
Sb 0.3873 0.5964 0.7591  2 As 2.76-2.79, 1 I 2.91
Sb 0.1127 0.2409 0.4036  2 As 2.76-2.79, 1 I 2.91
As 0.5337 0.8406 0.6025  4 Sb 2.65-2.79
As 0.9663 0.3975 0.1594  4 Sb 2.65-2.79
As 0.4663 0.1594 0.3975  4 Sb 2.65-2.79
As 0.0337 0.6025 0.8406  4 Sb 2.65-2.79

> Among the records above, which one has the highest V?

KAc2Sc